A relaxed structure of Si2HgPt. Source: the Alexandria database, functional PBE.

```
Si2HgPt
1.0
-3.749 -1.423 -0.946
-2.200 -3.307 1.094
-6.009 0.755 5.259
Hg Pt Si
1 1 2
direct
0.750 0.750 0.750 Hg
0.250 0.250 0.250 Pt
0.050 0.050 0.090 Si
0.450 0.450 0.410 Si
```

* SG: No. 12
* density: 9.2 g cm⁻³
* formation energy (no corrections): -89 meV per atom

=====

A relaxed structure of SiHgPt2. Source: the Alexandria database, functional PBE.

```
SiHgPt2
1.0
-0.287 -4.374 -5.762
2.557 -2.640 -6.237
1.659 -2.467 0.933
Hg Pt Si
1 2 1
direct
0.804 0.804 0.696 Hg
0.980 0.980 0.020 Pt
0.169 0.169 0.332 Pt
0.546 0.546 0.452 Si
```

* SG: No. 8
* density: 14.3 g cm⁻³
* formation energy (no corrections): -284 meV per atom
* excess energy over the best structure of this formula in the dataset: 18 meV per atom

=====

A relaxed structure of SiHgPt2. Source: the Alexandria database, functional PBE.

```
SiHgPt2
1.0
0.000 3.215 3.215
3.215 0.000 3.215
3.215 3.215 0.000
Si Hg Pt
1 1 2
direct
0.000 0.000 0.000 Si
0.500 0.500 0.500 Hg
0.250 0.250 0.250 Pt
0.750 0.750 0.750 Pt
```

* SG: No. 225
* density: 15.5 g cm⁻³
* formation energy (no corrections): 37 meV per atom
* excess energy over the best structure of this formula in the dataset: 339 meV per atom

=====

A relaxed structure of SiHgPt2. Source: the Alexandria database, functional PBE.

```
SiHgPt2
1.0
4.887 0.028 0.000
1.406 4.681 0.000
-3.146 -2.354 2.906
Hg Pt Si
1 2 1
direct
0.750 0.250 0.500 Hg
0.000 0.000 0.000 Pt
0.500 0.500 0.000 Pt
0.250 0.750 0.500 Si
```

* SG: No. 139
* density: 15.5 g cm⁻³
* formation energy (no corrections): 44 meV per atom
* excess energy over the best structure of this formula in the dataset: 346 meV per atom

=====

A relaxed structure of Si2HgPt. Source: the Alexandria database, functional PBE.

```
Si2HgPt
1.0
-4.426 1.284 0.335
0.111 -4.571 -0.668
0.113 -0.492 3.385
Hg Pt Si
1 1 2
direct
0.500 0.000 0.500 Hg
0.000 0.500 0.500 Pt
0.000 0.000 0.000 Si
0.500 0.500 0.000 Si
```

* SG: No. 65
* density: 10.8 g cm⁻³
* formation energy (no corrections): 346 meV per atom

=====

A relaxed structure of SiHg2Pt. Source: the Alexandria database, functional PBE.

```
SiHg2Pt
1.0
-2.993 1.195 -1.508
0.926 -2.753 -4.021
-2.062 -4.968 0.156
Hg Pt Si
2 1 1
direct
0.000 0.921 0.969 Hg
0.500 0.312 0.285 Hg
0.000 0.792 0.520 Pt
0.500 0.475 0.726 Si
```

* SG: No. 6
* density: 12.0 g cm⁻³
* formation energy (no corrections): 24 meV per atom

=====

Total DFT energy (no corrections)
In order: -4.3866, -4.7352, -4.4142, -4.4075, -3.9515, -2.9933
Unit: eV per atom